[1]
A relaxed Ac5La4Er crystal, computed with PBE. Values from VASP.

Results
V   402 Å³/cell
Total magnetic moment   0.00 μB per atom
Formation enthalpy at 0 K   32 meV/atom

Quantum ESPRESSO input file:
```
&SYSTEM
  ibrav = 0, nat = 10, ntyp = 3
/
ATOMIC_SPECIES
Ac 227.00 Ac.upf
La 138.91 La.upf
Er 167.26 Er.upf
CELL_PARAMETERS angstrom
3.881 0.000 0.000
0.000 3.881 0.000
0.000 0.000 26.662
ATOMIC_POSITIONS crystal
Ac 0.000 0.000 0.000
Ac 0.000 0.000 0.203
Ac 0.000 0.000 0.406
Ac 0.000 0.000 0.594
Ac 0.000 0.000 0.797
La 0.500 0.500 0.102
La 0.500 0.500 0.305
La 0.500 0.500 0.695
La 0.500 0.500 0.898
Er 0.500 0.500 0.500
```


[2]
A relaxed AcLa5Er crystal, computed with PBE. Values from VASP.

Results
V   520 Å³/cell
Total magnetic moment   0.00 μB per atom
Formation enthalpy at 0 K   99 meV/atom

Quantum ESPRESSO input file:
```
&SYSTEM
  ibrav = 0, nat = 14, ntyp = 3
/
ATOMIC_SPECIES
Ac 227.00 Ac.upf
La 138.91 La.upf
Er 167.26 Er.upf
CELL_PARAMETERS angstrom
4.271 -5.014 0.000
4.271 5.014 0.000
-3.556 0.000 12.137
ATOMIC_POSITIONS crystal
Ac 0.213 0.787 0.750
Ac 0.787 0.213 0.250
La 0.080 0.272 0.549
La 0.148 0.852 0.250
La 0.272 0.080 0.049
La 0.365 0.432 0.355
La 0.432 0.365 0.855
La 0.568 0.635 0.145
La 0.635 0.568 0.645
La 0.728 0.920 0.951
La 0.852 0.148 0.750
La 0.920 0.728 0.451
Er 0.000 0.500 0.000
Er 0.500 0.000 0.500
```


[3]
A relaxed Ac2La7Er2 crystal, computed with PBE. Values from VASP.

Results
V   412 Å³/cell
E above lowest polymorph   0.000 eV/atom
Total magnetic moment   0.00 μB per atom
Formation enthalpy at 0 K   94 meV/atom

Quantum ESPRESSO input file:
```
&SYSTEM
  ibrav = 0, nat = 11, ntyp = 3
/
ATOMIC_SPECIES
Ac 227.00 Ac.upf
La 138.91 La.upf
Er 167.26 Er.upf
CELL_PARAMETERS angstrom
8.905 -6.138 0.000
8.905 6.138 0.000
-0.518 0.000 3.766
ATOMIC_POSITIONS crystal
Ac 0.201 0.201 0.167
Ac 0.799 0.799 0.833
La 0.000 0.000 0.500
La 0.096 0.578 0.318
La 0.404 0.404 0.745
La 0.422 0.904 0.682
La 0.578 0.096 0.318
La 0.596 0.596 0.255
La 0.904 0.422 0.682
Er 0.249 0.751 0.000
Er 0.751 0.249 0.000
```


[4]
A relaxed AcLaEr2 crystal, computed with PBE. Values from VASP.

Results
V   141 Å³/cell
E above lowest polymorph   0.003 eV/atom
Total magnetic moment   0.00 μB per atom
Formation enthalpy at 0 K   46 meV/atom

Quantum ESPRESSO input file:
```
&SYSTEM
  ibrav = 0, nat = 4, ntyp = 3
/
ATOMIC_SPECIES
Ac 227.00 Ac.upf
La 138.91 La.upf
Er 167.26 Er.upf
CELL_PARAMETERS angstrom
1.863 1.075 11.735
-1.863 1.075 11.735
0.000 -2.151 11.735
ATOMIC_POSITIONS crystal
Ac 0.000 0.000 0.000
La 0.500 0.500 0.500
Er 0.249 0.249 0.249
Er 0.751 0.751 0.751
```


Per-record calculated total energy, eV per atom: -4.449; -4.660; -4.618; -4.495